[1]
TlPdNO | PBE | relaxed

Computed properties:
Energy (eV/atom): -4.78

Cell: 3.520 6.157 6.030 Å, 90.00 90.00 90.00°
Space group Pmc2_1 (No. 26)
Unique sites:
Tl1 0.000 0.180 0.000 x2
Pd1 0.500 0.313 0.527 x2
N1 0.000 0.190 0.607 x2
O1 0.500 0.353 0.171 x2

=====

[2]
TlPdNO | PBE | relaxed

Computed properties:
Energy (eV/atom): -4.81

Cell: 3.814 6.148 5.359 Å, 90.00 90.00 90.00°
Space group Pmc2_1 (No. 26)
Unique sites:
Tl1 0.000 0.152 0.000 x2
Pd1 0.500 0.406 0.510 x2
N1 0.500 0.297 0.853 x2
O1 0.000 0.218 0.422 x2